No. 1
## NiRh2PbN (PBE)

Data for a geometry-optimized NiRh2PbN structure.

a = 4.3194 Å, b = 4.3194 Å, c = 3.7637 Å
α = 90.00°, β = 90.00°, γ = 90.00°
Fractional positions:
Rh1 0.0000 0.5000 0.0000
N1 0.0000 0.0000 0.0000
Ni1 0.0000 0.0000 0.5000
Pb1 0.5000 0.5000 0.5000
Rh2 0.5000 0.0000 0.0000

Results
* electronic total energy: -0.463 Ry/atom
* SG: P4/mmm, No. 123
* magnetic moment: 0.0002 μB per atom
* calculated volume: 70.2 Å³ per cell

=====

No. 2
## NiPbS2N (PBE)

Data for a geometry-optimized NiPbS2N structure.

a = 5.2109 Å, b = 5.2109 Å, c = 4.2831 Å
α = 90.00°, β = 90.00°, γ = 90.00°
Site moments in Bohr magnetons follow the coordinates.
Fractional positions:
Pb1 0.0000 0.0000 0.0000  -0.03
S1 0.5000 0.0000 0.0000  0.26
Ni1 0.5000 0.5000 0.5000  1.17
S2 0.0000 0.5000 0.0000  0.26
N1 0.0000 0.0000 0.5000  0.96

Results
* SG: P4/mmm, No. 123
* magnetic moment: 0.6634 μB per atom
* calculated volume: 116.3 Å³ per cell
* distance to the lowest polymorph of the same formula: 1174.1 meV per atom